The following is a GGA-PBE calculation of an optimized crystal structure of La4Al, from Alexandria via LeMat-Bulk.

Results
Its formation energy is 221.7 meV per atom. The uncorrected energy comes out at -4.47 eV per atom. The energy above the lowest structure with this stoichiometry comes out at 1.70 eV per formula unit. The total magnetization comes out at 0.01 μB/f.u. Its calculated volume is 37.501 A^3/atom.

Lattice parameters (Å, degrees): 6.2452 6.2452 6.2452 109.47 109.47 109.47
Element x y z (fractional)
La  0.5000  0.0000  0.0000
La  0.5000  0.5000  0.5000
La  0.0000  0.5000  0.0000
La  0.0000  0.0000  0.5000
Al  0.0000  0.0000  0.0000